Record 1
The following is a PBE-GGA calculation of a relaxed structure of RbCa4Br8, from Alexandria. Values from VASP.

Summary:
- theoretical density (g/cm3) = 3.100
- formation energy without anion corrections (meV/atom) = -1859

Cell and atoms, written as Quantum ESPRESSO input:
```
&SYSTEM
  ibrav = 0, nat = 13, ntyp = 3
/
ATOMIC_SPECIES
Rb 85.47 Rb.upf
Ca 40.08 Ca.upf
Br 79.90 Br.upf
ATOMIC_POSITIONS angstrom
Rb 0.000 0.000 0.000
Ca -1.223 0.000 5.046
Ca 5.363 0.000 1.851
Ca 6.041 0.000 8.904
Ca 12.626 0.000 5.709
Br -5.937 0.000 8.088
Br -2.372 0.000 9.913
Br 0.950 0.000 7.035
Br 3.901 0.000 4.390
Br 7.500 0.000 6.363
Br 10.452 0.000 3.720
Br 13.775 0.000 0.841
Br 17.341 0.000 2.666
CELL_PARAMETERS angstrom
10.159 -2.168 0.000
10.159 2.168 0.000
-8.901 0.000 10.764
```

Record 2
The following is a PBE-GGA calculation of a relaxed structure of NaGePtO6, from Alexandria. Values from VASP.

Summary:
- theoretical density (g/cm3) = 5.452
- formation energy without anion corrections (meV/atom) = -847

Cell and atoms, written as Quantum ESPRESSO input:
```
&SYSTEM
  ibrav = 0, nat = 18, ntyp = 4
/
ATOMIC_SPECIES
Na 22.99 Na.upf
Ge 72.64 Ge.upf
Pt 195.08 Pt.upf
O 16.00 O.upf
ATOMIC_POSITIONS angstrom
Na 0.000 0.000 0.000
Na 0.000 0.000 5.184
Ge 0.000 2.957 2.592
Ge 2.561 1.479 7.776
Pt 0.000 2.957 7.776
Pt 2.561 1.479 2.592
O -0.917 1.642 1.539
O -1.598 2.821 3.644
O 0.917 1.642 3.644
O -0.680 4.409 1.539
O 1.881 0.027 6.723
O 0.964 1.615 8.828
O 1.598 2.821 1.539
O 0.680 4.409 3.644
O 3.242 0.027 8.828
O 1.644 2.794 6.723
O 4.159 1.615 6.723
O 3.478 2.794 8.828
CELL_PARAMETERS angstrom
5.122 0.000 0.000
-2.561 4.436 0.000
0.000 0.000 10.367
```

Record 3
The following is a PBE-GGA calculation of a relaxed structure of AsBr5, from Alexandria. Values from VASP.

Summary:
- theoretical density (g/cm3) = 3.090
- formation energy without anion corrections (meV/atom) = 94

Cell and atoms, written as Quantum ESPRESSO input:
```
&SYSTEM
  ibrav = 0, nat = 6, ntyp = 2
/
ATOMIC_SPECIES
As 74.92 As.upf
Br 79.90 Br.upf
ATOMIC_POSITIONS angstrom
As 0.000 0.000 0.000
Br -3.706 6.418 1.639
Br 1.033 1.789 1.639
Br 0.000 5.471 0.000
Br 4.738 2.736 0.000
Br 7.411 0.000 1.639
CELL_PARAMETERS angstrom
9.476 0.000 0.000
-4.738 8.207 0.000
0.000 0.000 3.278
```

Record 4
The following is a PBE-GGA calculation of a relaxed structure of ScReAg, from Alexandria. Values from VASP.

Summary:
- E above lowest polymorph (meV/atom) = 759
- theoretical density (g/cm3) = 8.686
- formation enthalpy at 0 K (meV per atom) = 996

Cell and atoms, written as Quantum ESPRESSO input:
```
&SYSTEM
  ibrav = 0, nat = 3, ntyp = 3
/
ATOMIC_SPECIES
Sc 44.96 Sc.upf
Re 186.21 Re.upf
Ag 107.87 Ag.upf
ATOMIC_POSITIONS angstrom
Sc 0.000 0.000 0.000
Re 4.782 4.782 4.782
Ag 3.188 3.188 3.188
CELL_PARAMETERS angstrom
0.000 3.188 3.188
3.188 0.000 3.188
3.188 3.188 0.000
```

Record 5
The following is a PBE-GGA calculation of a relaxed structure of NdSm3Cd2, from Alexandria. Values from VASP.

Summary:
- theoretical density (g/cm3) = 7.551
- formation enthalpy at 0 K (meV per atom) = -205

Cell and atoms, written as Quantum ESPRESSO input:
```
&SYSTEM
  ibrav = 0, nat = 6, ntyp = 3
/
ATOMIC_SPECIES
Nd 144.24 Nd.upf
Sm 150.36 Sm.upf
Cd 112.41 Cd.upf
ATOMIC_POSITIONS angstrom
Nd 0.000 0.000 0.000
Sm 1.870 1.870 2.529
Sm 1.870 1.870 6.450
Sm 1.870 1.870 10.371
Cd 0.000 0.000 4.485
Cd 0.000 0.000 8.416
CELL_PARAMETERS angstrom
3.739 0.000 0.000
0.000 3.739 0.000
0.000 0.000 12.901
```

Record 6
The following is a PBE-GGA calculation of a relaxed structure of PHSeBr2, from Alexandria. Values from VASP.

Summary:
- E above lowest polymorph (meV/atom) = 0
- theoretical density (g/cm3) = 3.476

Cell and atoms, written as Quantum ESPRESSO input:
```
&SYSTEM
  ibrav = 0, nat = 5, ntyp = 4
/
ATOMIC_SPECIES
P 30.97 P.upf
H 1.01 H.upf
Se 78.96 Se.upf
Br 79.90 Br.upf
ATOMIC_POSITIONS angstrom
P 0.000 0.000 0.000
H 2.603 2.603 2.386
Se 0.000 0.000 2.386
Br 0.000 2.603 0.000
Br 2.603 0.000 0.000
CELL_PARAMETERS angstrom
5.206 0.000 0.000
0.000 5.206 0.000
0.000 0.000 4.773
```

Record 7
The following is a PBE-GGA calculation of a relaxed structure of TbNd7Al4, from Alexandria. Values from VASP.

Summary:
- theoretical density (g/cm3) = 5.962
- formation enthalpy at 0 K (meV per atom) = -66

Cell and atoms, written as Quantum ESPRESSO input:
```
&SYSTEM
  ibrav = 0, nat = 12, ntyp = 3
/
ATOMIC_SPECIES
Tb 158.93 Tb.upf
Nd 144.24 Nd.upf
Al 26.98 Al.upf
ATOMIC_POSITIONS angstrom
Tb 0.000 0.000 0.000
Nd -1.411 0.000 3.432
Nd -2.406 0.000 7.805
Nd 2.036 0.000 3.129
Nd 7.069 0.000 0.000
Nd 6.056 0.000 5.742
Nd 10.498 0.000 1.065
Nd 9.503 0.000 5.439
Al 0.558 0.000 5.934
Al 4.883 0.000 2.132
Al 3.209 0.000 6.738
Al 7.534 0.000 2.937
CELL_PARAMETERS angstrom
7.069 -2.835 0.000
7.069 2.835 0.000
-6.046 0.000 8.871
```

Record 8
The following is a PBE-GGA calculation of a relaxed structure of TeMoW, from Alexandria. Values from VASP.

Summary:
- E above lowest polymorph (meV/atom) = 180
- theoretical density (g/cm3) = 12.445
- formation energy without anion corrections (meV/atom) = 678

Cell and atoms, written as Quantum ESPRESSO input:
```
&SYSTEM
  ibrav = 0, nat = 3, ntyp = 3
/
ATOMIC_SPECIES
Te 127.60 Te.upf
Mo 95.94 Mo.upf
W 183.84 W.upf
ATOMIC_POSITIONS angstrom
Te 0.000 0.000 0.000
Mo 2.271 1.311 1.525
W 0.000 2.622 3.040
CELL_PARAMETERS angstrom
4.542 0.000 0.000
-2.271 3.933 0.000
0.000 0.000 3.043
```

Record 9
The following is a PBE-GGA calculation of a relaxed structure of NdHoScTl, from Alexandria. Values from VASP.

Summary:
- E above lowest polymorph (meV/atom) = 107
- theoretical density (g/cm3) = 8.222
- formation enthalpy at 0 K (meV per atom) = -65

Cell and atoms, written as Quantum ESPRESSO input:
```
&SYSTEM
  ibrav = 0, nat = 4, ntyp = 4
/
ATOMIC_SPECIES
Nd 144.24 Nd.upf
Ho 164.93 Ho.upf
Sc 44.96 Sc.upf
Tl 204.38 Tl.upf
ATOMIC_POSITIONS angstrom
Nd 0.000 0.000 0.000
Ho 3.835 3.835 3.835
Sc 1.917 1.917 1.917
Tl 5.752 5.752 5.752
CELL_PARAMETERS angstrom
0.000 3.835 3.835
3.835 0.000 3.835
3.835 3.835 0.000
```

Record 10
The following is a PBE-GGA calculation of a relaxed structure of YSb3H, from Alexandria. Values from VASP.

Summary:
- E above lowest polymorph (meV/atom) = 799
- theoretical density (g/cm3) = 3.852

Cell and atoms, written as Quantum ESPRESSO input:
```
&SYSTEM
  ibrav = 0, nat = 5, ntyp = 3
/
ATOMIC_SPECIES
Y 88.91 Y.upf
Sb 121.76 Sb.upf
H 1.01 H.upf
ATOMIC_POSITIONS angstrom
Y 0.000 0.000 0.000
Sb 0.000 0.000 2.906
Sb 0.000 2.906 0.000
Sb 2.906 0.000 0.000
H 2.906 2.906 2.906
CELL_PARAMETERS angstrom
5.811 0.000 0.000
0.000 5.811 0.000
0.000 0.000 5.811
```

Record 11
The following is a PBE-GGA calculation of a relaxed structure of YSbTe2H, from Alexandria. Values from VASP.

Summary:
- E above lowest polymorph (meV/atom) = 635
- theoretical density (g/cm3) = 3.806

Cell and atoms, written as Quantum ESPRESSO input:
```
&SYSTEM
  ibrav = 0, nat = 5, ntyp = 4
/
ATOMIC_SPECIES
Y 88.91 Y.upf
Sb 121.76 Sb.upf
Te 127.60 Te.upf
H 1.01 H.upf
ATOMIC_POSITIONS angstrom
Y 0.000 0.000 0.000
Sb 0.000 0.000 2.959
Te 0.000 2.933 0.000
Te 2.933 0.000 0.000
H 2.933 2.933 2.959
CELL_PARAMETERS angstrom
5.866 0.000 0.000
0.000 5.866 0.000
0.000 0.000 5.918
```

Record 12
The following is a PBE-GGA calculation of a relaxed structure of Tb2CeIn2, from Alexandria. Values from VASP.

Summary:
- E above lowest polymorph (meV/atom) = 0
- theoretical density (g/cm3) = 7.236
- formation enthalpy at 0 K (meV per atom) = -155

Cell and atoms, written as Quantum ESPRESSO input:
```
&SYSTEM
  ibrav = 0, nat = 5, ntyp = 3
/
ATOMIC_SPECIES
Tb 158.93 Tb.upf
Ce 140.12 Ce.upf
In 114.82 In.upf
ATOMIC_POSITIONS angstrom
Tb 0.000 3.059 1.038
Tb 2.649 1.530 5.451
Ce 0.000 0.000 3.245
In 0.000 3.059 4.400
In 2.649 1.530 2.089
CELL_PARAMETERS angstrom
5.299 0.000 0.000
-2.649 4.589 0.000
0.000 0.000 6.489
```

Record 13
The following is a PBE-GGA calculation of a relaxed structure of As3Os2, from Alexandria. Values from VASP.

Summary:
- theoretical density (g/cm3) = 8.962
- formation enthalpy at 0 K (meV per atom) = 319

Cell and atoms, written as Quantum ESPRESSO input:
```
&SYSTEM
  ibrav = 0, nat = 10, ntyp = 2
/
ATOMIC_SPECIES
As 74.92 As.upf
Os 190.23 Os.upf
ATOMIC_POSITIONS angstrom
As 0.000 0.000 0.000
As 9.337 10.321 1.446
As 3.159 6.119 0.725
As 6.178 8.036 2.171
As 3.299 14.155 1.446
As 6.458 16.440 2.171
Os 8.309 12.555 1.446
Os 11.468 18.039 2.171
Os 4.327 11.920 1.446
Os 7.486 18.674 2.171
CELL_PARAMETERS angstrom
0.000 12.238 1.450
6.318 0.000 1.450
6.318 12.238 0.000
```

Record 14
The following is a PBE-GGA calculation of a relaxed structure of CoReCl2, from Alexandria. Values from VASP.

Summary:
- E above lowest polymorph (meV/atom) = 0
- theoretical density (g/cm3) = 7.366
- formation energy without anion corrections (meV/atom) = 93

Cell and atoms, written as Quantum ESPRESSO input:
```
&SYSTEM
  ibrav = 0, nat = 4, ntyp = 3
/
ATOMIC_SPECIES
Co 58.93 Co.upf
Re 186.21 Re.upf
Cl 35.45 Cl.upf
ATOMIC_POSITIONS angstrom
Co 0.000 0.000 0.000
Re 1.790 0.000 1.693
Cl -0.001 0.000 3.458
Cl 3.337 0.000 7.014
CELL_PARAMETERS angstrom
2.686 -1.550 0.000
2.686 1.550 0.000
-0.246 0.000 8.557
```

Record 15
The following is a PBE-GGA calculation of a relaxed structure of Th6C2N3O, from Alexandria. Values from VASP.

Summary:
- theoretical density (g/cm3) = 11.417
- formation energy without anion corrections (meV/atom) = -1378

Cell and atoms, written as Quantum ESPRESSO input:
```
&SYSTEM
  ibrav = 0, nat = 12, ntyp = 4
/
ATOMIC_SPECIES
Th 232.04 Th.upf
C 12.01 C.upf
N 14.01 N.upf
O 16.00 O.upf
ATOMIC_POSITIONS angstrom
Th -0.004 1.864 4.511
Th 1.044 0.000 1.540
Th -0.004 -1.864 4.511
Th 4.268 1.864 1.528
Th 3.220 0.000 4.500
Th 4.268 -1.864 1.528
C 3.197 3.726 0.000
C 3.197 -3.726 0.000
N -1.065 0.000 3.020
N 2.132 1.940 3.020
N 2.132 -1.940 3.020
O 3.197 0.000 0.000
CELL_PARAMETERS angstrom
3.197 -5.552 0.000
3.197 5.552 0.000
-2.130 0.000 6.040
```